Entry from Alexandria: crystalline VAs2PdO8 at its relaxed geometry (PBE with a Hubbard U).

Output
The calculation puts the final energy at -72.78 eV for the cell shown.

a b c (Å): 5.5924 5.5924 5.8327
angles (deg): 90.00 90.00 120.00
With the nearest neighbours (Å) after each atom.
Fractional positions:
V (0.0000, 0.0000, 0.5000)  6 O 2.00
As (0.6667, 0.3333, 0.3774)  4 O 1.65-1.78
As (0.3333, 0.6667, 0.6226)  4 O 1.65-1.78
Pd (0.0000, 0.0000, 0.0000)  6 O 2.25
O (0.8410, 0.1590, 0.2818)  1 As 1.78
O (0.8410, 0.6819, 0.2818)  1 As 1.78
O (0.3181, 0.1590, 0.2818)  1 As 1.78
O (0.6819, 0.8410, 0.7182)  1 As 1.78
O (0.3333, 0.6667, 0.3397)  1 As 1.65
O (0.6667, 0.3333, 0.6603)  1 As 1.65
O (0.1590, 0.8410, 0.7182)  1 As 1.78
O (0.1590, 0.3181, 0.7182)  1 As 1.78